(1)
Nd2Sn3PdPt4 | Alexandria via LeMat-Bulk | PBE-GGA | relaxed; D(E_F) = 7.7 states/eV/f.u.; symmetry = No. 115; formation energy from the elements = -0.792 eV per atom
1.0
4.2194 0.0000 0.0000
0.0000 4.2194 0.0000
0.0000 0.0000 12.1908
Nd Sn Pd Pt
2 3 1 4
Cartesian
0.0000 2.1097 2.7859 Nd
2.1097 0.0000 9.4048 Nd
0.0000 0.0000 0.0000 Sn
0.0000 2.1097 7.7356 Sn
2.1097 0.0000 4.4552 Sn
2.1097 2.1097 0.0000 Pd
0.0000 0.0000 6.0954 Pt
0.0000 2.1097 10.3402 Pt
2.1097 0.0000 1.8506 Pt
2.1097 2.1097 6.0954 Pt

---

(2)
SrNdPdPt | Alexandria via LeMat-Bulk | PBE-GGA | relaxed; D(E_F) = 1.8 states/eV/f.u.; symmetry = No. 38; relative energy among the computed polymorphs = 0 meV per atom; formation energy from the elements = -0.839 eV per atom
1.0
4.4735 0.0000 0.0000
0.0000 2.0210 5.7069
0.0000 -2.0210 5.7069
Sr Nd Pd Pt
1 1 1 1
Cartesian
0.0000 0.0000 0.0000 Sr
2.2367 0.0000 8.2739 Nd
2.2367 0.0000 4.9350 Pd
0.0000 0.0000 3.1169 Pt

---

(3)
SrNdPdPt | Alexandria via LeMat-Bulk | PBE-GGA | relaxed; D(E_F) = 1.8 states/eV/f.u.; symmetry = No. 216; relative energy among the computed polymorphs = 61 meV per atom; formation energy from the elements = -0.779 eV per atom
1.0
0.0000 3.6446 3.6446
3.6446 0.0000 3.6446
3.6446 3.6446 0.0000
Sr Nd Pd Pt
1 1 1 1
Cartesian
0.0000 0.0000 0.0000 Sr
3.6446 3.6446 3.6446 Nd
1.8223 1.8223 1.8223 Pd
5.4668 5.4668 5.4668 Pt

---

(4)
TbNdPdPt | Alexandria via LeMat-Bulk | PBE-GGA | relaxed; D(E_F) = 2.5 states/eV/f.u.; symmetry = No. 38; relative energy among the computed polymorphs = 0 meV per atom; formation energy from the elements = -1.036 eV per atom
1.0
4.5424 0.0000 0.0000
0.0000 1.9242 5.3858
0.0000 -1.9242 5.3858
Tb Nd Pd Pt
1 1 1 1
Cartesian
0.0000 0.0000 0.0000 Tb
2.2712 0.0000 2.9523 Nd
0.0000 0.0000 7.7699 Pd
2.2712 0.0000 5.9023 Pt